Record 1
First-principles (PBE) data for an optimized crystal structure of Ba2SrRe, as listed in the Alexandria database.

VASP energy = -3.464 eV/atom

Cell lengths 5.396, 5.396, 9.439 Å; angles 90.00, 90.00, 90.00 degrees
Space group I-4m2 (No. 119)
One atom of each set of equivalent atoms:
Ba 0.000 0.000 0.000 (multiplicity 2)
Ba 0.000 0.500 0.250 (multiplicity 2)
Sr 0.000 0.000 0.500 (multiplicity 2)
Re 0.000 0.500 0.750 (multiplicity 2)



Record 2
First-principles (PBE) data for an optimized crystal structure of Tm2Cd5Pd, as listed in the Alexandria database.

VASP energy = -2.521 eV/atom

Cell lengths 4.8186, 4.8186, 29.4520 Å; angles 90.00, 90.00, 120.00 degrees
Space group R-3m (No. 166, hexagonal axes)
One atom of each set of equivalent atoms:
Tm 0.0000 0.0000 0.0888 (multiplicity 6)
Cd 0.0000 0.0000 0.2004 (multiplicity 6)
Cd 0.0000 0.0000 0.3536 (multiplicity 6)
Cd 0.0000 0.0000 0.5000 (multiplicity 3)
Pd 0.0000 0.0000 0.0000 (multiplicity 3)



Record 3
First-principles (PBE) data for an optimized crystal structure of BeOs2Pt, as listed in the Alexandria database.

VASP energy = -8.083 eV/atom

Cell lengths 2.750, 3.678, 5.437 Å; angles 90.00, 90.00, 90.00 degrees
Space group Pmm2 (No. 25)
One atom of each set of equivalent atoms:
Be 0.000 0.000 0.000 (multiplicity 1)
Os 0.000 0.000 0.482 (multiplicity 1)
Os 0.500 0.500 0.276 (multiplicity 1)
Pt 0.500 0.500 0.799 (multiplicity 1)



Record 4
First-principles (PBE) data for an optimized crystal structure of Ce2ThNi, as listed in the Alexandria database.

VASP energy = -6.044 eV/atom

Cell lengths 4.3857, 4.3857, 17.5845 Å; angles 90.00, 90.00, 120.00 degrees
Space group R-3m (No. 166, hexagonal axes)
One atom of each set of equivalent atoms:
Ce 0.0000 0.0000 0.2354 (multiplicity 6)
Th 0.0000 0.0000 0.0000 (multiplicity 3)
Ni 0.0000 0.0000 0.5000 (multiplicity 3)



Record 5
First-principles (PBE) data for an optimized crystal structure of PaNb2W, as listed in the Alexandria database.

VASP energy = -10.599 eV/atom

Cell lengths 6.718, 6.718, 6.718 Å; angles 90.00, 90.00, 90.00 degrees
Space group Fm-3m (No. 225)
One atom of each set of equivalent atoms:
Pa 0.000 0.000 0.000 (multiplicity 4)
Nb 0.250 0.250 0.250 (multiplicity 8)
W 0.000 0.000 0.500 (multiplicity 4)



Record 6
First-principles (PBE) data for an optimized crystal structure of Pd2SCl, as listed in the Alexandria database.

ΔE_f (raw) = -163.6 meV/atom

Cell lengths 6.090, 3.528, 6.755 Å; angles 90.00, 107.30, 90.00 degrees
Space group Cm (No. 8)
One atom of each set of equivalent atoms:
Pd 0.000 0.000 0.000 (multiplicity 2)
Pd 0.026 0.500 0.571 (multiplicity 2)
S 0.263 0.000 0.786 (multiplicity 2)
Cl 0.262 0.500 0.286 (multiplicity 2)



Record 7
First-principles (PBE) data for an optimized crystal structure of YPd6Au5, as listed in the Alexandria database.

VASP energy = -4.854 eV/atom

Cell lengths 4.261, 7.729, 12.573 Å; angles 90.00, 90.00, 90.00 degrees
Space group Immm (No. 71)
One atom of each set of equivalent atoms:
Y 0.000 0.000 0.000 (multiplicity 2)
Pd 0.000 0.242 0.500 (multiplicity 4)
Pd 0.000 0.254 0.168 (multiplicity 8)
Au 0.000 0.000 0.331 (multiplicity 4)
Au 0.000 0.500 0.000 (multiplicity 2)
Au 0.000 0.500 0.335 (multiplicity 4)



Record 8
First-principles (PBE) data for an optimized crystal structure of KYCd2, as listed in the Alexandria database.

VASP energy = -2.223 eV/atom

Cell lengths 7.532, 7.532, 7.532 Å; angles 90.00, 90.00, 90.00 degrees
Space group F-43m (No. 216)
One atom of each set of equivalent atoms:
K 0.000 0.000 0.000 (multiplicity 4)
Y 0.250 0.250 0.750 (multiplicity 4)
Cd 0.000 0.000 0.500 (multiplicity 4)
Cd 0.250 0.250 0.250 (multiplicity 4)



Record 9
First-principles (PBE) data for an optimized crystal structure of NbReAs2Os, as listed in the Alexandria database.

VASP energy = -7.185 eV/atom

Cell lengths 4.689, 4.689, 4.790 Å; angles 90.00, 90.00, 90.00 degrees
Space group P4/mmm (No. 123)
One atom of each set of equivalent atoms:
Nb 0.000 0.000 0.000 (multiplicity 1)
Re 0.500 0.500 0.500 (multiplicity 1)
As 0.000 0.500 0.500 (multiplicity 2)
Os 0.500 0.500 0.000 (multiplicity 1)



Record 10
First-principles (PBE) data for an optimized crystal structure of La8C4Cl3, as listed in the Alexandria database.

ΔE_f (raw) = -673.2 meV/atom

Cell lengths 11.275, 11.351, 7.884 Å; angles 90.00, 133.95, 90.00 degrees
Space group C2/m (No. 12)
One atom of each set of equivalent atoms:
La 0.000 0.234 0.000 (multiplicity 4)
La 0.000 0.235 0.500 (multiplicity 4)
La 0.213 0.000 0.963 (multiplicity 4)
La 0.228 0.000 0.471 (multiplicity 4)
C 0.000 0.000 0.000 (multiplicity 2)
C 0.000 0.000 0.500 (multiplicity 2)
C 0.250 0.250 0.500 (multiplicity 4)
Cl 0.000 0.500 0.000 (multiplicity 2)
Cl 0.250 0.250 0.000 (multiplicity 4)



Record 11
First-principles (PBE) data for an optimized crystal structure of CeZnCuP2, as listed in the Alexandria database.

VASP energy = -5.156 eV/atom

Cell lengths 4.0114, 4.0114, 6.6826 Å; angles 90.00, 90.00, 120.00 degrees
Space group P3m1 (No. 156)
One atom of each set of equivalent atoms:
Ce 0.0000 0.0000 0.0000 (multiplicity 1)
Zn 0.6667 0.3333 0.3836 (multiplicity 1)
Cu 0.3333 0.6667 0.6520 (multiplicity 1)
P 0.3333 0.6667 0.2720 (multiplicity 1)
P 0.6667 0.3333 0.7465 (multiplicity 1)



Record 12
First-principles (PBE) data for an optimized crystal structure of TcAu4Se, as listed in the Alexandria database.

ΔE_f (raw) = 565.9 meV/atom

Cell lengths 7.813, 7.813, 7.813 Å; angles 90.00, 90.00, 90.00 degrees
Space group F-43m (No. 216)
One atom of each set of equivalent atoms:
Tc 0.000 0.000 0.000 (multiplicity 4)
Au 0.125 0.125 0.625 (multiplicity 16)
Se 0.250 0.250 0.250 (multiplicity 4)



Record 13
First-principles (PBE) data for an optimized crystal structure of HfBe2Cu, as listed in the Alexandria database.

VASP energy = -5.109 eV/atom

Cell lengths 3.928, 3.928, 14.810 Å; angles 90.00, 90.00, 90.00 degrees
Space group I4_1/amd (No. 141, origin choice 2)
One atom of each set of equivalent atoms:
Hf 0.000 0.250 0.375 (multiplicity 4)
Be 0.000 0.000 0.000 (multiplicity 8)
Cu 0.000 0.250 0.875 (multiplicity 4)



Record 14
First-principles (PBE) data for an optimized crystal structure of UMnFeP2, as listed in the Alexandria database.

VASP energy = -8.737 eV/atom

Cell lengths 3.860, 3.860, 9.170 Å; angles 90.00, 90.00, 90.00 degrees
Space group I-4m2 (No. 119)
One atom of each set of equivalent atoms:
U 0.000 0.000 0.000 (multiplicity 2)
Mn 0.000 0.500 0.750 (multiplicity 2)
Fe 0.000 0.500 0.250 (multiplicity 2)
P 0.000 0.000 0.372 (multiplicity 4)



Record 15
First-principles (PBE) data for an optimized crystal structure of Er3Tl2Ag, as listed in the Alexandria database.

VASP energy = -3.863 eV/atom

Cell lengths 5.2515, 5.2515, 12.9211 Å; angles 90.00, 90.00, 120.00 degrees
Space group P-3m1 (No. 164)
One atom of each set of equivalent atoms:
Er 0.0000 0.0000 0.2452 (multiplicity 2)
Er 0.3333 0.6667 0.4120 (multiplicity 2)
Er 0.3333 0.6667 0.9182 (multiplicity 2)
Tl 0.0000 0.0000 0.0000 (multiplicity 1)
Tl 0.0000 0.0000 0.5000 (multiplicity 1)
Tl 0.3333 0.6667 0.6733 (multiplicity 2)
Ag 0.3333 0.6667 0.1682 (multiplicity 2)



Record 16
First-principles (PBE) data for an optimized crystal structure of CeGaFe, as listed in the Alexandria database.

VASP energy = -6.093 eV/atom

Cell lengths 6.521, 6.530, 5.934 Å; angles 90.00, 116.40, 90.00 degrees
Space group P2_1/c (No. 14)
One atom of each set of equivalent atoms:
Ce 0.240 0.092 0.002 (multiplicity 4)
Ga 0.202 0.607 0.020 (multiplicity 4)
Fe 0.499 0.688 0.891 (multiplicity 4)



Record 17
First-principles (PBE) data for an optimized crystal structure of HoTm2Rh, as listed in the Alexandria database.

VASP energy = -5.779 eV/atom

Cell lengths 7.110, 9.271, 6.266 Å; angles 90.00, 90.00, 90.00 degrees
Space group Pnma (No. 62)
One atom of each set of equivalent atoms:
Ho 0.034 0.250 0.133 (multiplicity 4)
Tm 0.178 0.063 0.672 (multiplicity 8)
Rh 0.116 0.750 0.447 (multiplicity 4)



Record 18
First-principles (PBE) data for an optimized crystal structure of Rb4NaSn3Br12, as listed in the Alexandria database.

ΔE_f (raw) = -1215.2 meV/atom

Cell lengths 11.524, 11.524, 11.524 Å; angles 90.00, 90.00, 90.00 degrees
Space group Im-3m (No. 229)
One atom of each set of equivalent atoms:
Rb 0.250 0.250 0.250 (multiplicity 8)
Na 0.000 0.000 0.000 (multiplicity 2)
Sn 0.000 0.000 0.500 (multiplicity 6)
Br 0.000 0.000 0.253 (multiplicity 12)
Br 0.000 0.250 0.500 (multiplicity 12)



Record 19
First-principles (PBE) data for an optimized crystal structure of MgSc2NiC, as listed in the Alexandria database.

VASP energy = -4.041 eV/atom

Cell lengths 5.065, 5.065, 4.136 Å; angles 90.00, 90.00, 90.00 degrees
Space group P4/mmm (No. 123)
One atom of each set of equivalent atoms:
Mg 0.000 0.000 0.000 (multiplicity 1)
Sc 0.000 0.500 0.000 (multiplicity 2)
Ni 0.000 0.000 0.500 (multiplicity 1)
C 0.500 0.500 0.500 (multiplicity 1)



Record 20
First-principles (PBE) data for an optimized crystal structure of In12Ga5Ag3, as listed in the Alexandria database.

VASP energy = -2.700 eV/atom

Cell lengths 16.334, 16.334, 16.334 Å; angles 90.00, 90.00, 90.00 degrees
Space group Ia-3d (No. 230)
One atom of each set of equivalent atoms:
In 0.020 0.080 0.650 (multiplicity 96)
Ga 0.000 0.000 0.000 (multiplicity 16)
Ga 0.000 0.250 0.375 (multiplicity 24)
Ag 0.000 0.250 0.125 (multiplicity 24)